4
Lattice="3.0258 0.0000 0.0000 0.0000 5.0902 0.0000 0.0000 0.0000 5.5108" Properties=species:S:1:pos:R:3 comment="GGA-PBE Hg2SbW, optimized geometry" vol_a3_per_atom=21.2 raw_formation_energy_ev_per_atom=0.8061 spacegroup="Pmmm (47)" pbc="T T T"
Hg 0.0000 0.0000 0.0000
Hg 1.5129 2.5451 0.0000
W 0.0000 2.5451 2.7554
Sb 1.5129 0.0000 2.7554

4
Lattice="-3.8201 -2.3542 -2.7406 3.6101 -2.6447 -2.7603 -0.0838 -2.2835 2.0783" Properties=species:S:1:pos:R:3 comment="GGA-PBE Hg2SbW, optimized geometry" vol_a3_per_atom=21.3 raw_formation_energy_ev_per_atom=0.9546 spacegroup="P4/mmm (123)" pbc="T T T"
Hg -0.1050 -2.4995 -2.7504
Hg 0.0000 0.0000 0.0000
Sb -1.9519 -2.3189 -0.3311
W 1.7632 -2.4641 -0.3410

4
Lattice="-1.8741 4.7634 -0.7620 -4.0277 0.8867 3.1264 4.7812 -1.7754 0.8780" Properties=species:S:1:pos:R:3 comment="GGA-PBE HgSbW2, optimized geometry" vol_a3_per_atom=18.5 raw_formation_energy_ev_per_atom=0.9249 spacegroup="I-4m2 (119)" pbc="T T T"
W 0.0000 0.0000 0.0000
W -1.0987 0.9682 2.5933
Hg -2.9509 2.8250 1.1822
Sb -0.0219 2.9065 0.6492

10
Lattice="-3.7969 -1.5719 5.7846 5.9539 -1.7828 3.4236 0.4872 4.6877 1.5937" Properties=species:S:1:pos:R:3 comment="GGA-PBE Hg2Sb2W, optimized geometry" vol_a3_per_atom=25.0 raw_formation_energy_ev_per_atom=0.7101 spacegroup="P4/mbm (127)" pbc="T T T"
Sb -1.5764 -1.2869 4.2674
Sb 3.7334 -2.0678 4.9408
Sb 0.6361 -2.4948 7.1438
Sb 1.5209 -0.8599 2.0644
W 0.0000 0.0000 0.0000
W 1.0785 -1.6773 4.6041
Hg 3.5930 0.8732 4.0985
Hg -0.9488 0.4598 6.7033
Hg 2.6155 -0.1885 7.5204
Hg 0.0287 1.5215 3.2815

4
Lattice="3.2986 0.0000 0.0000 0.0000 4.8383 0.0000 0.0000 0.0000 4.7207" Properties=species:S:1:pos:R:3 comment="GGA-PBE HgSbW2, optimized geometry" vol_a3_per_atom=18.8 raw_formation_energy_ev_per_atom=0.9408 spacegroup="Pmmm (47)" pbc="T T T"
Hg 1.6493 0.0000 2.3603
Sb 0.0000 2.4192 2.3603
W 0.0000 0.0000 0.0000
W 1.6493 2.4192 0.0000

4
Lattice="-1.7018 -1.8839 -4.3883 1.3232 -2.9917 -3.8732 -1.8196 -4.1150 1.8357" Properties=species:S:1:pos:R:3 comment="GGA-PBE HgSbW2, optimized geometry" vol_a3_per_atom=18.9 raw_formation_energy_ev_per_atom=0.8606 spacegroup="C2/m (12)" pbc="T T T"
W -2.1952 -8.9646 -6.3880
W -1.1022 -4.5214 -3.2508
Sb -1.6487 -6.7430 -4.8194
Hg -0.5496 -2.2477 -1.6065

4
Lattice="5.5845 0.0101 0.0170 4.7956 2.8616 0.0170 1.1620 0.3215 5.3706" Properties=species:S:1:pos:R:3 comment="GGA-PBE Hg2SbW, optimized geometry" vol_a3_per_atom=21.4 raw_formation_energy_ev_per_atom=0.6839 spacegroup="Cm (8)" pbc="T T T"
Hg 8.5211 2.3574 4.3101
Hg 11.1701 3.0902 5.2072
Sb 6.0110 1.6629 2.3666
W 3.1528 0.8722 1.6275

4
Lattice="11.4719 0.0347 0.0203 11.0466 3.0949 0.0203 11.0466 1.5352 2.6873" Properties=species:S:1:pos:R:3 comment="GGA-PBE Hg2SbW, optimized geometry" vol_a3_per_atom=23.4 raw_formation_energy_ev_per_atom=0.4908 spacegroup="R3m (160)" pbc="T T T"
Sb 16.1932 2.2505 1.3161
W 25.1975 3.5019 2.0479
Hg 8.5296 1.1854 0.6932
Hg 0.4273 0.0594 0.0347

5
Lattice="4.9046 0.0000 0.0000 0.0000 4.9046 0.0000 0.0000 0.0000 4.9046" Properties=species:S:1:pos:R:3 comment="GGA-PBE HgSbW3, optimized geometry" vol_a3_per_atom=23.6 raw_formation_energy_ev_per_atom=2.5433 spacegroup="Pm-3m (221)" pbc="T T T"
W 0.0000 0.0000 2.4523
W 0.0000 2.4523 0.0000
W 2.4523 0.0000 0.0000
Hg 2.4523 2.4523 2.4523
Sb 0.0000 0.0000 0.0000

3
Lattice="4.6341 0.0000 0.0000 2.3171 4.0132 0.0000 2.3171 1.3377 3.7837" Properties=species:S:1:pos:R:3 comment="GGA-PBE HgSbW, optimized geometry" vol_a3_per_atom=23.5 raw_formation_energy_ev_per_atom=1.2409 spacegroup="F-43m (216)" pbc="T T T"
Sb 2.3171 1.3377 0.9459
W 0.0000 0.0000 0.0000
Hg 4.6341 2.6755 1.8919

4
Lattice="3.5660 0.0000 0.0000 0.0000 3.5887 0.1669 0.0000 3.2674 6.7367" Properties=species:S:1:pos:R:3 comment="GGA-PBE Hg2SbW, optimized geometry" vol_a3_per_atom=21.1 raw_formation_energy_ev_per_atom=0.6067 spacegroup="Pm (6)" pbc="T T T"
Hg 1.7830 1.7175 1.6633
Hg 0.0000 3.2709 6.6726
Sb 0.0000 3.4155 3.6918
W 1.7830 5.1477 5.0644

8
Lattice="-0.0532 -1.7776 3.6011 2.6442 -2.7261 -1.3066 8.9922 3.7410 4.2194" Properties=species:S:1:pos:R:3 comment="GGA-PBE HgSbW2, optimized geometry" vol_a3_per_atom=20.6 raw_formation_energy_ev_per_atom=1.0368 spacegroup="I-42d (122)" pbc="T T T"
W 8.8872 -1.0072 5.2335
W 7.8398 0.9890 3.9637
W 3.8915 -1.0742 0.8572
W 2.5478 -0.4332 2.9733
Hg 5.1172 -0.1443 4.4839
Hg 0.0000 0.0000 0.0000
Sb 1.2955 -2.2519 1.1472
Sb 6.4660 -0.6185 2.0300

3
Lattice="-1.9789 -3.1343 -2.8001 -0.5543 -4.3811 1.4422 -4.2515 -1.6109 0.9543" Properties=species:S:1:pos:R:3 comment="GGA-PBE HgSbW, optimized geometry" vol_a3_per_atom=23.6 raw_formation_energy_ev_per_atom=0.8963 spacegroup="F-43m (216)" pbc="T T T"
W -1.6962 -2.2816 -0.1009
Sb -3.3924 -4.5631 -0.2018
Hg 0.0000 0.0000 0.0000

5
Lattice="-2.4164 -4.1775 2.4909 4.8636 -2.0521 1.2766 -0.0408 2.7986 4.6541" Properties=species:S:1:pos:R:3 comment="GGA-PBE HgSb3W, optimized geometry" vol_a3_per_atom=32.0 raw_formation_energy_ev_per_atom=1.8046 spacegroup="Pm-3m (221)" pbc="T T T"
Sb 2.4318 -1.0260 0.6383
Sb -0.0204 1.3993 2.3271
Sb -1.2082 -2.0888 1.2454
Hg 0.0000 0.0000 0.0000
W 1.2032 -1.7155 4.2108

4
Lattice="-0.4875 5.4558 0.0829 -0.4690 -2.3271 -4.9371 -2.9103 0.3178 -0.5034" Properties=species:S:1:pos:R:3 comment="GGA-PBE HgSbW2, optimized geometry" vol_a3_per_atom=18.8 raw_formation_energy_ev_per_atom=0.9485 spacegroup="C2/m (12)" pbc="T T T"
Sb -1.6896 -1.0046 -2.7203
W 0.0000 0.0000 0.0000
W -0.4782 1.5644 -2.4271
Hg -1.6989 2.8868 -0.2103

4
Lattice="3.1431 0.0000 0.0000 0.0000 4.0360 0.0000 0.0000 0.0000 6.1367" Properties=species:S:1:pos:R:3 comment="GGA-PBE HgSbW2, optimized geometry" vol_a3_per_atom=19.5 raw_formation_energy_ev_per_atom=1.0064 spacegroup="Pmmm (47)" pbc="T T T"
W 0.0000 0.0000 3.3412
W 0.0000 0.0000 5.8639
Sb 1.5715 2.0180 4.6026
Hg 1.5715 2.0180 1.5342

4
Lattice="3.2679 0.0000 0.0000 0.0000 3.2679 0.0000 0.0000 0.0000 6.8512" Properties=species:S:1:pos:R:3 comment="GGA-PBE HgSbW2, optimized geometry" vol_a3_per_atom=18.3 raw_formation_energy_ev_per_atom=0.9185 spacegroup="P4/mmm (123)" pbc="T T T"
W 0.0000 0.0000 3.5213
W 0.0000 0.0000 6.7555
Sb 1.6340 1.6340 5.1384
Hg 1.6340 1.6340 1.7128

3
Lattice="3.1703 0.0000 0.0000 -1.5851 2.7456 0.0000 0.0000 0.0000 7.4832" Properties=species:S:1:pos:R:3 comment="GGA-PBE HgSbW, optimized geometry" vol_a3_per_atom=21.7 raw_formation_energy_ev_per_atom=0.6755 spacegroup="P3m1 (156)" pbc="T T T"
W 0.0000 1.8304 4.9107
Sb 1.5851 0.9152 2.8018
Hg 0.0000 0.0000 7.2539

4
Lattice="3.1087 0.0220 0.0000 -1.7200 2.5896 0.0000 0.0000 0.0000 10.9107" Properties=species:S:1:pos:R:3 comment="GGA-PBE Hg2SbW, optimized geometry" vol_a3_per_atom=22.1 raw_formation_energy_ev_per_atom=0.7178 spacegroup="Cmmm (65)" pbc="T T T"
W 0.6943 1.3058 8.1830
Sb 0.6943 1.3058 2.7277
Hg 0.0000 0.0000 5.6968
Hg 0.0000 0.0000 10.6692

5
Lattice="-4.5708 1.5834 2.6035 -2.8717 -0.7842 -4.5648 -0.9517 -5.2006 1.4921" Properties=species:S:1:pos:R:3 comment="GGA-PBE ZrHgSb2W, optimized geometry" vol_a3_per_atom=32.9 raw_formation_energy_ev_per_atom=1.4250 spacegroup="P4/mmm (123)" pbc="T T T"
Sb -2.2854 0.7917 1.3018
Sb -0.4758 -2.6003 0.7461
W -4.1971 -2.2007 -0.2346
Hg -1.4358 -0.3921 -2.2824
Zr 0.0000 0.0000 0.0000